Record 1
The following is a DFT calculation (PBE) of a geometry-optimized HfPaSn2 structure.

```
HfPaSn2
1.0
3.877 0.000 0.000
0.000 3.877 0.000
0.000 0.000 6.433
Hf Pa Sn
1 1 2
direct
0.000 0.000 0.000 Hf
0.000 0.000 0.500 Pa
0.500 0.500 0.230 Sn
0.500 0.500 0.770 Sn
```

ρ: 11.11 g/cm3
energy above the lowest structure with this stoichiometry: 4.7 meV per atom
total moment: 0.80 μB/cell
DFT formation energy: -17 kJ/mol of atoms
total DFT energy (no corrections): -28.18 eV per cell
space-group type: P4/mmm, No. 123

Record 2
The following is a DFT calculation (PBE) of a geometry-optimized Hf5PaSn2 structure.

```
Hf5PaSn2
1.0
2.519 -5.210 0.000
2.519 5.210 0.000
0.000 0.000 14.417
Hf Pa Sn
10 2 4
direct
0.066 0.934 0.750 Hf
0.105 0.895 0.059 Hf
0.105 0.895 0.441 Hf
0.426 0.574 0.097 Hf
0.426 0.574 0.403 Hf
0.574 0.426 0.597 Hf
0.574 0.426 0.903 Hf
0.895 0.105 0.559 Hf
0.895 0.105 0.941 Hf
0.934 0.066 0.250 Hf
0.211 0.789 0.250 Pa
0.789 0.211 0.750 Pa
0.272 0.728 0.610 Sn
0.272 0.728 0.890 Sn
0.728 0.272 0.110 Sn
0.728 0.272 0.390 Sn
```

ρ: 11.94 g/cm3
total moment: 0.00 μB/cell
DFT formation energy: 1 kJ/mol of atoms
total DFT energy (no corrections): -134.33 eV per cell
space-group type: Cmcm, No. 63

Record 3
The following is a DFT calculation (PBE) of a geometry-optimized HfPaSn2 structure.

```
HfPaSn2
1.0
4.688 0.000 0.000
0.000 4.688 0.000
0.000 0.000 4.399
Hf Pa Sn
1 1 2
direct
0.000 0.000 0.000 Hf
0.500 0.500 0.000 Pa
0.000 0.500 0.500 Sn
0.500 0.000 0.500 Sn
```

ρ: 11.11 g/cm3
energy above the lowest structure with this stoichiometry: 0.0 meV per atom
total moment: 0.01 μB/cell
DFT formation energy: -18 kJ/mol of atoms
total DFT energy (no corrections): -28.20 eV per cell
space-group type: P4/mmm, No. 123

Record 4
The following is a DFT calculation (PBE) of a geometry-optimized HfPaTiSn structure.

```
HfPaTiSn
1.0
0.000 3.484 3.484
3.484 0.000 3.484
3.484 3.484 0.000
Hf Pa Ti Sn
1 1 1 1
direct
0.000 0.000 0.000 Hf
0.750 0.750 0.750 Pa
0.500 0.500 0.500 Ti
0.250 0.250 0.250 Sn
```

ρ: 11.31 g/cm3
total moment: 0.00 μB/cell
DFT formation energy: -7 kJ/mol of atoms
total DFT energy (no corrections): -31.63 eV per cell
space-group type: F-43m, No. 216

Record 5
The following is a DFT calculation (PBE) of a geometry-optimized HfZrPaSn structure.

```
HfZrPaSn
1.0
0.000 3.568 3.568
3.568 0.000 3.568
3.568 3.568 0.000
Hf Zr Pa Sn
1 1 1 1
direct
0.000 0.000 0.000 Hf
0.500 0.500 0.500 Zr
0.750 0.750 0.750 Pa
0.250 0.250 0.250 Sn
```

ρ: 11.33 g/cm3
total moment: 0.00 μB/cell
DFT formation energy: -8 kJ/mol of atoms
total DFT energy (no corrections): -32.35 eV per cell
space-group type: F-43m, No. 216

Record 6
The following is a DFT calculation (PBE) of a geometry-optimized HfPaTa structure.

```
HfPaTa
1.0
-1.475 1.475 15.309
1.475 -1.475 15.309
1.475 1.475 -15.309
Hf Pa Ta
2 2 2
direct
0.050 0.050 0.000 Hf
0.950 0.950 0.000 Hf
0.368 0.368 0.000 Pa
0.632 0.632 0.000 Pa
0.213 0.213 0.000 Ta
0.787 0.787 0.000 Ta
```

ρ: 14.72 g/cm3
energy above the lowest structure with this stoichiometry: 173.5 meV per atom
total moment: 0.00 μB/cell
DFT formation energy: 30 kJ/mol of atoms
total DFT energy (no corrections): -60.74 eV per cell
space-group type: I4/mmm, No. 139

Record 7
The following is a DFT calculation (PBE) of a geometry-optimized Hf2PaTa structure.

```
Hf2PaTa
1.0
0.000 3.516 3.516
3.516 0.000 3.516
3.516 3.516 0.000
Hf Pa Ta
2 1 1
direct
0.000 0.000 0.000 Hf
0.250 0.250 0.250 Hf
0.500 0.500 0.500 Pa
0.750 0.750 0.750 Ta
```

ρ: 14.69 g/cm3
energy above the lowest structure with this stoichiometry: 0.0 meV per atom
total moment: 0.00 μB/cell
DFT formation energy: 13 kJ/mol of atoms
total DFT energy (no corrections): -40.73 eV per cell
space-group type: F-43m, No. 216

Record 8
The following is a DFT calculation (PBE) of a geometry-optimized Hf2PaTa structure.

```
Hf2PaTa
1.0
1.560 0.900 10.507
-1.560 0.900 10.507
0.000 -1.801 10.507
Hf Pa Ta
2 1 1
direct
0.244 0.244 0.244 Hf
0.756 0.756 0.756 Hf
0.000 0.000 0.000 Pa
0.500 0.500 0.500 Ta
```

ρ: 14.42 g/cm3
energy above the lowest structure with this stoichiometry: 53.0 meV per atom
total moment: 0.00 μB/cell
DFT formation energy: 18 kJ/mol of atoms
total DFT energy (no corrections): -40.52 eV per cell
space-group type: R-3m, No. 166

Record 9
The following is a DFT calculation (PBE) of a geometry-optimized HfPaTa structure.

```
HfPaTa
1.0
4.867 0.000 0.000
-2.433 4.215 0.000
0.000 0.000 3.140
Hf Pa Ta
1 1 1
direct
0.000 0.000 0.000 Hf
0.667 0.333 0.392 Pa
0.333 0.667 0.655 Ta
```

ρ: 15.23 g/cm3
energy above the lowest structure with this stoichiometry: 0.0 meV per atom
total moment: 0.00 μB/cell
DFT formation energy: 13 kJ/mol of atoms
total DFT energy (no corrections): -30.89 eV per cell
space-group type: P3m1, No. 156

Record 10
The following is a DFT calculation (PBE) of a geometry-optimized Hf2PaTa structure.

```
Hf2PaTa
1.0
3.465 0.000 0.000
0.000 3.465 0.000
0.000 0.000 7.271
Hf Pa Ta
2 1 1
direct
0.000 0.000 0.226 Hf
0.000 0.000 0.774 Hf
0.500 0.500 0.500 Pa
0.500 0.500 0.000 Ta
```

ρ: 14.63 g/cm3
energy above the lowest structure with this stoichiometry: 59.2 meV per atom
total moment: 0.00 μB/cell
DFT formation energy: 18 kJ/mol of atoms
total DFT energy (no corrections): -40.49 eV per cell
space-group type: P4/mmm, No. 123

Record 11
The following is a DFT calculation (PBE) of a geometry-optimized HfPaTa4 structure.

```
HfPaTa4
1.0
0.000 3.965 3.965
3.965 0.000 3.965
3.965 3.965 0.000
Hf Pa Ta
1 1 4
direct
0.000 0.000 0.000 Hf
0.750 0.750 0.750 Pa
0.375 0.375 0.375 Ta
0.375 0.375 0.874 Ta
0.375 0.874 0.375 Ta
0.874 0.375 0.375 Ta
```

ρ: 15.09 g/cm3
total moment: 0.00 μB/cell
DFT formation energy: 9 kJ/mol of atoms
total DFT energy (no corrections): -66.28 eV per cell
space-group type: F-43m, No. 216

Record 12
The following is a DFT calculation (PBE) of a geometry-optimized HfPaTa structure.

```
HfPaTa
1.0
-1.740 1.740 5.341
1.740 -1.740 5.341
1.740 1.740 -5.341
Hf Pa Ta
1 1 1
direct
0.000 0.000 0.000 Hf
0.318 0.318 0.000 Pa
0.671 0.671 0.000 Ta
```

ρ: 15.15 g/cm3
energy above the lowest structure with this stoichiometry: 46.1 meV per atom
total moment: 0.00 μB/cell
DFT formation energy: 18 kJ/mol of atoms
total DFT energy (no corrections): -30.75 eV per cell
space-group type: I4mm, No. 107

Record 13
The following is a DFT calculation (PBE) of a geometry-optimized Hf2PaTa structure.

```
Hf2PaTa
1.0
0.000 3.505 3.505
3.505 0.000 3.505
3.505 3.505 0.000
Hf Pa Ta
2 1 1
direct
0.250 0.250 0.250 Hf
0.750 0.750 0.750 Hf
0.000 0.000 0.000 Pa
0.500 0.500 0.500 Ta
```

ρ: 14.82 g/cm3
energy above the lowest structure with this stoichiometry: 33.6 meV per atom
total moment: 0.00 μB/cell
DFT formation energy: 16 kJ/mol of atoms
total DFT energy (no corrections): -40.59 eV per cell
space-group type: Fm-3m, No. 225

Record 14
The following is a DFT calculation (PBE) of a geometry-optimized HfPaTaTc structure.

```
HfPaTaTc
1.0
0.000 3.403 3.403
3.403 0.000 3.403
3.403 3.403 0.000
Hf Pa Ta Tc
1 1 1 1
direct
0.000 0.000 0.000 Hf
0.500 0.500 0.500 Pa
0.750 0.750 0.750 Ta
0.250 0.250 0.250 Tc
```

ρ: 14.50 g/cm3
total moment: 0.00 μB/cell
DFT formation energy: -8 kJ/mol of atoms
total DFT energy (no corrections): -41.99 eV per cell
space-group type: F-43m, No. 216